This record from the Alexandria database describes a geometry-optimized BeVSnO2 structure. The functional is PBE with a Hubbard U.

SG: No. 123
VASP energy in eV/atom: -4.722

CIF file:
```
data_BeVSnO2
_cell_length_a 3.602
_cell_length_b 3.602
_cell_length_c 5.135
_cell_angle_alpha 90.00
_cell_angle_beta 90.00
_cell_angle_gamma 90.00
_space_group_name_H-M_alt 'P 1'
_space_group_IT_number 1
_space_group_name_Hall 'P 1'
loop_
_atom_site_label
_atom_site_type_symbol
_atom_site_fract_x
_atom_site_fract_y
_atom_site_fract_z
Be1 Be 0.000 0.000 0.000
V1 V 0.500 0.500 0.500
Sn1 Sn 0.000 0.000 0.500
O1 O 0.000 0.500 0.000
O2 O 0.500 0.000 0.000
```